Entry 1:
Here is a PBEsol-optimized structure of KAlZn2Cu from Alexandria. Energies are from meta-GGA SCAN.

Output
DOS(E_F) = 1.4 states/eV per cell
V = 104 Å³/cell
VASP energy = -57.62 eV for the cell shown
symmetry = P4/mmm, No. 123

a b c (Å): 4.743 4.743 4.629
angles (deg): 90.00 90.00 90.00
Positions (direct):
K  0.000  0.000  0.000
Al  0.500  0.500  0.000
Zn  0.000  0.500  0.500
Zn  0.500  0.000  0.500
Cu  0.500  0.500  0.500

Entry 2:
Here is a PBEsol-optimized structure of LaAl2Cu from Alexandria. Energies are from meta-GGA SCAN.

Output
DOS(E_F) = 1.4 states/eV per cell
V = 77 Å³/cell
VASP energy = -74.66 eV for the cell shown
symmetry = F-43m, No. 216

a b c (Å): 4.778 4.778 4.778
angles (deg): 60.00 60.00 60.00
Positions (direct):
La  0.000  0.000  0.000
Al  0.500  0.500  0.500
Al  0.750  0.750  0.750
Cu  0.250  0.250  0.250

Entry 3:
Here is a PBEsol-optimized structure of LaAl2Cu from Alexandria. Energies are from meta-GGA SCAN.

Output
DOS(E_F) = 2.4 states/eV per cell
V = 81 Å³/cell
VASP energy = -73.12 eV for the cell shown
symmetry = Cmmm, No. 65

a b c (Å): 5.664 5.664 2.865
angles (deg): 90.00 90.00 118.37
Positions (direct):
La  0.000  0.000  0.000
Al  0.000  0.500  0.500
Al  0.500  0.000  0.500
Cu  0.500  0.500  0.000

Entry 4:
Here is a PBEsol-optimized structure of LaAl2Cu from Alexandria. Energies are from meta-GGA SCAN.

Output
DOS(E_F) = 1.3 states/eV per cell
V = 82 Å³/cell
VASP energy = -75.19 eV for the cell shown
symmetry = Cmmm, No. 65

a b c (Å): 4.544 4.544 4.271
angles (deg): 90.00 90.00 110.75
Positions (direct):
La  0.000  0.000  0.000
Al  0.324  0.676  0.500
Al  0.676  0.324  0.500
Cu  0.500  0.500  0.000

Entry 5:
Here is a PBEsol-optimized structure of LaAl2Cu from Alexandria. Energies are from meta-GGA SCAN.

Output
DOS(E_F) = 1.9 states/eV per cell
V = 84 Å³/cell
VASP energy = -75.49 eV for the cell shown
symmetry = R3m, No. 160

a b c (Å): 5.898 5.898 5.898
angles (deg): 42.13 42.13 42.13
Positions (direct):
La  0.000  0.000  0.000
Al  0.527  0.527  0.527
Al  0.794  0.794  0.794
Cu  0.193  0.193  0.193

Entry 6:
Here is a PBEsol-optimized structure of La2AlCu from Alexandria. Energies are from meta-GGA SCAN.

Output
DOS(E_F) = 2.4 states/eV per cell
V = 94 Å³/cell
VASP energy = -110.16 eV for the cell shown
symmetry = Pm, No. 6

a b c (Å): 3.632 4.739 5.481
angles (deg): 90.00 90.12 90.00
Positions (direct):
La  0.000  0.000  0.000
La  0.003  0.500  0.625
Al  0.501  0.500  0.163
Cu  0.503  0.000  0.443

Entry 7:
Here is a PBEsol-optimized structure of La2AlCu from Alexandria. Energies are from meta-GGA SCAN.

Output
DOS(E_F) = 2.8 states/eV per cell
V = 94 Å³/cell
VASP energy = -110.37 eV for the cell shown
symmetry = Imm2, No. 44

a b c (Å): 6.046 6.046 6.046
angles (deg): 145.34 130.87 61.52
Positions (direct):
La  0.000  0.000  0.000
La  0.701  0.201  0.500
Al  0.287  0.787  0.500
Cu  0.449  0.449  0.000

Entry 8:
Here is a PBEsol-optimized structure of La2AlCu from Alexandria. Energies are from meta-GGA SCAN.

Output
DOS(E_F) = 4.0 states/eV per cell
V = 100 Å³/cell
VASP energy = -109.97 eV for the cell shown
symmetry = P4/mmm, No. 123

a b c (Å): 5.219 5.219 3.660
angles (deg): 90.00 90.00 90.00
Positions (direct):
La  0.000  0.500  0.000
La  0.500  0.000  0.000
Al  0.000  0.000  0.500
Cu  0.500  0.500  0.500

Entry 9:
Here is a PBEsol-optimized structure of LaAlCu from Alexandria. Energies are from meta-GGA SCAN.

Output
DOS(E_F) = 2.5 states/eV per cell
V = 65 Å³/cell
VASP energy = -67.07 eV for the cell shown
symmetry = P-6m2, No. 187

a b c (Å): 4.495 4.495 3.714
angles (deg): 90.00 90.00 120.00
Positions (direct):
La  0.000  0.000  0.000
Al  0.333  0.667  0.500
Cu  0.667  0.333  0.500

Entry 10:
Here is a PBEsol-optimized structure of LaAl2Cu from Alexandria. Energies are from meta-GGA SCAN.

Output
DOS(E_F) = 2.0 states/eV per cell
V = 83 Å³/cell
VASP energy = -75.60 eV for the cell shown
symmetry = R-3m, No. 166

a b c (Å): 6.027 6.027 6.027
angles (deg): 40.48 40.48 40.48
Positions (direct):
La  0.000  0.000  0.000
Al  0.206  0.206  0.206
Al  0.794  0.794  0.794
Cu  0.500  0.500  0.500

Entry 11:
Here is a PBEsol-optimized structure of La3AlCu from Alexandria. Energies are from meta-GGA SCAN.

Output
DOS(E_F) = 5.2 states/eV per cell
V = 181 Å³/cell
VASP energy = -149.51 eV for the cell shown
symmetry = Pm-3m, No. 221

a b c (Å): 5.658 5.658 5.658
angles (deg): 90.00 90.00 90.00
Positions (direct):
La  0.000  0.000  0.500
La  0.000  0.500  0.000
La  0.500  0.000  0.000
Al  0.000  0.000  0.000
Cu  0.500  0.500  0.500

Entry 12:
Here is a PBEsol-optimized structure of SrLaAlCuO5 from Alexandria. Energies are from meta-GGA SCAN.

Output
DOS(E_F) = 2.8 states/eV per cell
V = 469 Å³/cell
VASP energy = -581.41 eV for the cell shown
symmetry = Pbcm, No. 57
raw formation energy = -277.30 kJ/mol of atoms

a b c (Å): 7.924 10.957 5.396
angles (deg): 90.00 90.00 90.00
Positions (direct):
Sr  0.240  0.096  0.250
Sr  0.240  0.404  0.750
Sr  0.760  0.596  0.250
Sr  0.760  0.904  0.750
La  0.310  0.634  0.250
La  0.310  0.866  0.750
La  0.690  0.134  0.250
La  0.690  0.366  0.750
Al  0.005  0.157  0.750
Al  0.005  0.343  0.250
Al  0.995  0.657  0.750
Al  0.995  0.843  0.250
Cu  0.477  0.126  0.750
Cu  0.477  0.374  0.250
Cu  0.523  0.626  0.750
Cu  0.523  0.874  0.250
O  0.067  0.250  0.000
O  0.067  0.250  0.500
O  0.119  0.021  0.750
O  0.119  0.479  0.250
O  0.218  0.646  0.750
O  0.218  0.854  0.250
O  0.468  0.250  0.000
O  0.468  0.250  0.500
O  0.500  0.000  0.000
O  0.500  0.000  0.500
O  0.500  0.500  0.000
O  0.500  0.500  0.500
O  0.532  0.750  0.000
O  0.532  0.750  0.500
O  0.782  0.146  0.750
O  0.782  0.354  0.250
O  0.881  0.521  0.750
O  0.881  0.979  0.250
O  0.933  0.750  0.000
O  0.933  0.750  0.500